# 1
Material: BaSiPt
Method: DFT, PBE
State: optimized geometry

CIF file:
```
data_BaSiPt
_chemical_formula_sum 'Ba4 Si4 Pt4'
_cell_length_a 6.9341
_cell_length_b 6.9341
_cell_length_c 6.9341
_cell_angle_alpha 90.00
_cell_angle_beta 90.00
_cell_angle_gamma 90.00
_symmetry_space_group_name_H-M 'F -4 3 m'
_symmetry_Int_Tables_number 216
_symmetry_space_group_name_Hall 'F -4 2 3'
loop_
_atom_site_label
_atom_site_type_symbol
_atom_site_fract_x
_atom_site_fract_y
_atom_site_fract_z
Ba1 Ba 0.0000 0.0000 0.0000
Si1 Si 0.0000 0.0000 0.5000
Pt1 Pt 0.2500 0.2500 0.2500
```

formation energy from raw total energies: -0.111 eV per formula unit
calculated volume: 333 Å³/cell

# 2
Material: BaSi2Pt
Method: DFT, PBE
State: optimized geometry

CIF file:
```
data_BaSi2Pt
_chemical_formula_sum 'Ba2 Si4 Pt2'
_cell_length_a 5.8142
_cell_length_b 9.9844
_cell_length_c 3.0001
_cell_angle_alpha 90.00
_cell_angle_beta 90.00
_cell_angle_gamma 90.00
_symmetry_space_group_name_H-M 'C m m m'
_symmetry_Int_Tables_number 65
_symmetry_space_group_name_Hall '-C 2 2'
loop_
_atom_site_label
_atom_site_type_symbol
_atom_site_fract_x
_atom_site_fract_y
_atom_site_fract_z
Ba1 Ba 0.0000 0.0000 0.0000
Si1 Si 0.2500 0.2500 0.5000
Pt1 Pt 0.0000 0.5000 0.0000
```

formation energy from raw total energies: 1.575 eV per formula unit
calculated volume: 174 Å³/cell

# 3
Material: BaSi2Pt
Method: DFT, PBE
State: optimized geometry

CIF file:
```
data_BaSi2Pt
_chemical_formula_sum 'Ba1 Si2 Pt1'
_cell_length_a 4.3353
_cell_length_b 4.3353
_cell_length_c 4.6999
_cell_angle_alpha 90.00
_cell_angle_beta 90.00
_cell_angle_gamma 90.00
_symmetry_space_group_name_H-M 'P 4/m m m'
_symmetry_Int_Tables_number 123
_symmetry_space_group_name_Hall '-P 4 2'
loop_
_atom_site_label
_atom_site_type_symbol
_atom_site_fract_x
_atom_site_fract_y
_atom_site_fract_z
Ba1 Ba 0.0000 0.0000 0.0000
Si1 Si 0.0000 0.5000 0.5000
Pt1 Pt 0.5000 0.5000 0.0000
```

formation energy from raw total energies: 0.902 eV per formula unit
calculated volume: 88 Å³/cell

# 4
Material: BaSi2Pt
Method: DFT, PBE
State: optimized geometry

CIF file:
```
data_BaSi2Pt
_chemical_formula_sum 'Ba4 Si8 Pt4'
_cell_length_a 5.0443
_cell_length_b 5.0443
_cell_length_c 16.2300
_cell_angle_alpha 90.00
_cell_angle_beta 90.00
_cell_angle_gamma 90.00
_symmetry_space_group_name_H-M 'I 41/a m d'
_symmetry_Int_Tables_number 141
loop_
_symmetry_equiv_pos_as_xyz
'x,y,z'
'-x,-y,-z'
'-y+1/4,x+3/4,z+1/4'
'y+1/4,-x+3/4,-z+1/4'
'-x+1/2,-y,z+1/2'
'x+1/2,y,-z+1/2'
'y+1/4,-x+1/4,z+3/4'
'-y+1/4,x+1/4,-z+3/4'
'x,-y,-z'
'-x,y,z'
'-y+1/4,-x+1/4,-z+3/4'
'y+1/4,x+1/4,z+3/4'
'-x+1/2,y,-z+1/2'
'x+1/2,-y,z+1/2'
'y+1/4,x+3/4,-z+1/4'
'-y+1/4,-x+3/4,z+1/4'
'x+1/2,y+1/2,z+1/2'
'-x+1/2,-y+1/2,-z+1/2'
'-y+3/4,x+1/4,z+3/4'
'y+3/4,-x+1/4,-z+3/4'
'-x,-y+1/2,z'
'x,y+1/2,-z'
'y+3/4,-x+3/4,z+1/4'
'-y+3/4,x+3/4,-z+1/4'
'x+1/2,-y+1/2,-z+1/2'
'-x+1/2,y+1/2,z+1/2'
'-y+3/4,-x+3/4,-z+1/4'
'y+3/4,x+3/4,z+1/4'
'-x,y+1/2,-z'
'x,-y+1/2,z'
'y+3/4,x+1/4,-z+3/4'
'-y+3/4,-x+1/4,z+3/4'
loop_
_atom_site_label
_atom_site_type_symbol
_atom_site_fract_x
_atom_site_fract_y
_atom_site_fract_z
Ba1 Ba 0.0000 0.2500 0.3750
Si1 Si 0.0000 0.0000 0.0000
Pt1 Pt 0.0000 0.2500 0.8750
```

formation energy from raw total energies: -2.234 eV per formula unit
calculated volume: 413 Å³/cell

# 5
Material: Ba2SiPt
Method: DFT, PBE
State: optimized geometry

CIF file:
```
data_Ba2SiPt
_chemical_formula_sum 'Ba2 Si1 Pt1'
_cell_length_a 3.5885
_cell_length_b 3.5885
_cell_length_c 9.6476
_cell_angle_alpha 90.00
_cell_angle_beta 90.00
_cell_angle_gamma 90.00
_symmetry_space_group_name_H-M 'P 4 m m'
_symmetry_Int_Tables_number 99
loop_
_symmetry_equiv_pos_as_xyz
'x,y,z'
'-y,x,z'
'-x,-y,z'
'y,-x,z'
'-x,y,z'
'y,x,z'
'x,-y,z'
'-y,-x,z'
loop_
_atom_site_label
_atom_site_type_symbol
_atom_site_fract_x
_atom_site_fract_y
_atom_site_fract_z
Ba1 Ba 0.0000 0.0000 0.0000
Ba2 Ba 0.5000 0.5000 0.4209
Si1 Si 0.5000 0.5000 0.7511
Pt1 Pt 0.0000 0.0000 0.6731
```

formation energy from raw total energies: -0.973 eV per formula unit
calculated volume: 124 Å³/cell

# 6
Material: BaSiPt
Method: DFT, PBE
State: optimized geometry

CIF file:
```
data_BaSiPt
_chemical_formula_sum 'Ba2 Si2 Pt2'
_cell_length_a 3.4436
_cell_length_b 3.4436
_cell_length_c 11.8419
_cell_angle_alpha 90.00
_cell_angle_beta 90.00
_cell_angle_gamma 90.00
_symmetry_space_group_name_H-M 'I 4 m m'
_symmetry_Int_Tables_number 107
_symmetry_space_group_name_Hall 'I 4 -2'
loop_
_atom_site_label
_atom_site_type_symbol
_atom_site_fract_x
_atom_site_fract_y
_atom_site_fract_z
Ba1 Ba 0.0000 0.0000 0.0000
Si1 Si 0.0000 0.0000 0.2821
Pt1 Pt 0.0000 0.0000 0.7162
```

formation energy from raw total energies: -1.368 eV per formula unit
calculated volume: 140 Å³/cell

# 7
Material: BaSi4Pt
Method: DFT, PBE
State: optimized geometry

CIF file:
```
data_BaSi4Pt
_chemical_formula_sum 'Ba4 Si16 Pt4'
_cell_length_a 7.7639
_cell_length_b 7.7639
_cell_length_c 7.7639
_cell_angle_alpha 90.00
_cell_angle_beta 90.00
_cell_angle_gamma 90.00
_symmetry_space_group_name_H-M 'F -4 3 m'
_symmetry_Int_Tables_number 216
_symmetry_space_group_name_Hall 'F -4 2 3'
loop_
_atom_site_label
_atom_site_type_symbol
_atom_site_fract_x
_atom_site_fract_y
_atom_site_fract_z
Ba1 Ba 0.0000 0.0000 0.0000
Si1 Si 0.1194 0.1194 0.3806
Pt1 Pt 0.2500 0.2500 0.7500
```

formation energy from raw total energies: 1.943 eV per formula unit
calculated volume: 468 Å³/cell

# 8
Material: BaSi2Pt
Method: DFT, PBE
State: optimized geometry

CIF file:
```
data_BaSi2Pt
_chemical_formula_sum 'Ba2 Si4 Pt2'
_cell_length_a 7.2035
_cell_length_b 4.1582
_cell_length_c 6.5187
_cell_angle_alpha 90.00
_cell_angle_beta 111.70
_cell_angle_gamma 90.00
_symmetry_space_group_name_H-M 'C 1 2/m 1'
_symmetry_Int_Tables_number 12
loop_
_symmetry_equiv_pos_as_xyz
'x,y,z'
'-x,-y,-z'
'-x,y,-z'
'x,-y,z'
'x+1/2,y+1/2,z'
'-x+1/2,-y+1/2,-z'
'-x+1/2,y+1/2,-z'
'x+1/2,-y+1/2,z'
loop_
_atom_site_label
_atom_site_type_symbol
_atom_site_fract_x
_atom_site_fract_y
_atom_site_fract_z
Ba1 Ba 0.0000 0.0000 0.0000
Si1 Si 0.2071 0.0000 0.6202
Pt1 Pt 0.0000 0.5000 0.5000
```

formation energy from raw total energies: -2.844 eV per formula unit
calculated volume: 181 Å³/cell

# 9
Material: Ba2SiPt
Method: DFT, PBE
State: optimized geometry

CIF file:
```
data_Ba2SiPt
_chemical_formula_sum 'Ba4 Si2 Pt2'
_cell_length_a 7.6268
_cell_length_b 4.4111
_cell_length_c 8.9520
_cell_angle_alpha 90.00
_cell_angle_beta 106.56
_cell_angle_gamma 90.00
_symmetry_space_group_name_H-M 'C 1 2/m 1'
_symmetry_Int_Tables_number 12
loop_
_symmetry_equiv_pos_as_xyz
'x,y,z'
'-x,-y,-z'
'-x,y,-z'
'x,-y,z'
'x+1/2,y+1/2,z'
'-x+1/2,-y+1/2,-z'
'-x+1/2,y+1/2,-z'
'x+1/2,-y+1/2,z'
loop_
_atom_site_label
_atom_site_type_symbol
_atom_site_fract_x
_atom_site_fract_y
_atom_site_fract_z
Ba1 Ba 0.2414 0.0000 0.2240
Si1 Si 0.0000 0.0000 0.5000
Pt1 Pt 0.0000 0.5000 0.0000
```

formation energy from raw total energies: -0.836 eV per formula unit
calculated volume: 289 Å³/cell

# 10
Material: BaSi3Pt6
Method: DFT, PBE
State: optimized geometry

CIF file:
```
data_BaSi3Pt6
_chemical_formula_sum 'Ba3 Si9 Pt18'
_cell_length_a 6.4306
_cell_length_b 6.4306
_cell_length_c 15.7500
_cell_angle_alpha 90.00
_cell_angle_beta 90.00
_cell_angle_gamma 120.00
_symmetry_space_group_name_H-M 'R 3'
_symmetry_Int_Tables_number 146
_symmetry_space_group_name_Hall 'R 3'
loop_
_atom_site_label
_atom_site_type_symbol
_atom_site_fract_x
_atom_site_fract_y
_atom_site_fract_z
Ba1 Ba 0.0000 0.0000 0.0000
Si1 Si 0.0000 0.0000 0.2167
Si2 Si 0.0000 0.0000 0.3903
Si3 Si 0.0000 0.0000 0.7704
Pt1 Pt 0.0136 0.2892 0.4907
Pt2 Pt 0.1642 0.3694 0.3160
```

formation energy from raw total energies: -6.832 eV per formula unit
calculated volume: 564 Å³/cell

# 11
Material: Ba2SiPt
Method: DFT, PBE
State: optimized geometry

CIF file:
```
data_Ba2SiPt
_chemical_formula_sum 'Ba4 Si2 Pt2'
_cell_length_a 4.2757
_cell_length_b 5.6965
_cell_length_c 9.9078
_cell_angle_alpha 90.00
_cell_angle_beta 90.00
_cell_angle_gamma 90.00
_symmetry_space_group_name_H-M 'I m m 2'
_symmetry_Int_Tables_number 44
loop_
_symmetry_equiv_pos_as_xyz
'x,y,z'
'-x,-y,z'
'-x,y,z'
'x,-y,z'
'x+1/2,y+1/2,z+1/2'
'-x+1/2,-y+1/2,z+1/2'
'-x+1/2,y+1/2,z+1/2'
'x+1/2,-y+1/2,z+1/2'
loop_
_atom_site_label
_atom_site_type_symbol
_atom_site_fract_x
_atom_site_fract_y
_atom_site_fract_z
Ba1 Ba 0.0000 0.0000 0.0000
Ba2 Ba 0.0000 0.5000 0.1831
Si1 Si 0.0000 0.0000 0.3884
Pt1 Pt 0.0000 0.5000 0.7941
```

formation energy from raw total energies: -2.234 eV per formula unit
calculated volume: 241 Å³/cell

# 12
Material: BaSi2Pt
Method: DFT, PBE
State: optimized geometry

CIF file:
```
data_BaSi2Pt
_chemical_formula_sum 'Ba2 Si4 Pt2'
_cell_length_a 4.2270
_cell_length_b 6.6538
_cell_length_c 7.5229
_cell_angle_alpha 90.00
_cell_angle_beta 90.00
_cell_angle_gamma 90.00
_symmetry_space_group_name_H-M 'I m m m'
_symmetry_Int_Tables_number 71
_symmetry_space_group_name_Hall '-I 2 2'
loop_
_atom_site_label
_atom_site_type_symbol
_atom_site_fract_x
_atom_site_fract_y
_atom_site_fract_z
Ba1 Ba 0.0000 0.0000 0.0000
Si1 Si 0.0000 0.5000 0.1569
Pt1 Pt 0.0000 0.0000 0.5000
```

formation energy from raw total energies: -1.726 eV per formula unit
calculated volume: 212 Å³/cell

# 13
Material: BaSi6Pt5
Method: DFT, PBE
State: optimized geometry

CIF file:
```
data_BaSi6Pt5
_chemical_formula_sum 'Ba1 Si6 Pt5'
_cell_length_a 6.0169
_cell_length_b 6.4653
_cell_length_c 6.6303
_cell_angle_alpha 105.59
_cell_angle_beta 110.90
_cell_angle_gamma 100.97
_symmetry_space_group_name_H-M 'P -1'
_symmetry_Int_Tables_number 2
loop_
_symmetry_equiv_pos_as_xyz
'x,y,z'
'-x,-y,-z'
loop_
_atom_site_label
_atom_site_type_symbol
_atom_site_fract_x
_atom_site_fract_y
_atom_site_fract_z
Ba1 Ba 0.0000 0.0000 0.0000
Si1 Si 0.0294 0.6218 0.3332
Si2 Si 0.4060 0.3015 0.5431
Si3 Si 0.4185 0.0834 0.8266
Pt1 Pt 0.0000 0.0000 0.5000
Pt2 Pt 0.2521 0.6041 0.0851
Pt3 Pt 0.3765 0.6781 0.7145
```

formation energy from raw total energies: -7.215 eV per formula unit
calculated volume: 220 Å³/cell